Model P:
The following is a GGA-PBE calculation of a relaxed NbTc2Br crystal, from Alexandria.

D(E_F) = 11.014 states/eV per cell

Unit cell a=5.813 b=5.813 c=10.820 alpha=90.00 beta=90.00 gamma=90.00
Space group I-42d (No. 122)
Unique sites:
Nb1 0.000 0.000 0.000 x4
Tc1 0.240 0.250 0.625 x8
Br1 0.000 0.000 0.500 x4


Model Q:
The following is a GGA-PBE calculation of a relaxed NbTc2Br crystal, from Alexandria.

D(E_F) = 11.854 states/eV per cell

Unit cell a=6.402 b=6.402 c=6.402 alpha=90.00 beta=90.00 gamma=90.00
Space group Fm-3m (No. 225)
Unique sites:
Nb1 0.000 0.000 0.000 x4
Tc1 0.250 0.250 0.250 x8
Br1 0.000 0.000 0.500 x4


model Q wins, 439 meV per atom ahead of the next structure.


Model P:
The following is a GGA-PBE calculation of a relaxed Nb3TcBr crystal, from Alexandria.

D(E_F) = 8.047 states/eV per cell

Unit cell a=4.887 b=4.887 c=4.887 alpha=90.00 beta=90.00 gamma=90.00
Space group Pm-3m (No. 221)
Unique sites:
Nb1 0.000 0.000 0.500 x3
Tc1 0.000 0.000 0.000 x1
Br1 0.500 0.500 0.500 x1


Model Q:
The following is a GGA-PBE calculation of a relaxed Nb3TcBr crystal, from Alexandria.

D(E_F) = 9.218 states/eV per cell

Unit cell a=4.683 b=4.683 c=4.683 alpha=90.00 beta=90.00 gamma=90.00
Space group Pm-3m (No. 221)
Unique sites:
Nb1 0.000 0.000 0.500 x3
Tc1 0.500 0.500 0.500 x1
Br1 0.000 0.000 0.000 x1


model P wins, 253 meV per atom ahead of the next structure.


Model P:
The following is a GGA-PBE calculation of a relaxed NbTeBr3 crystal, from Alexandria.

D(E_F) = 15.620 states/eV per cell

Unit cell a=5.208 b=5.208 c=5.208 alpha=90.00 beta=90.00 gamma=90.00
Space group Pm-3m (No. 221)
Unique sites:
Nb1 0.000 0.000 0.000 x1
Te1 0.500 0.500 0.500 x1
Br1 0.000 0.000 0.500 x3


Model Q:
The following is a GGA-PBE calculation of a relaxed NbTeBr3 crystal, from Alexandria.

Unit cell a=6.978 b=7.567 c=12.841 alpha=90.00 beta=98.07 gamma=90.00
Space group P2/c (No. 13)
Unique sites:
Nb1 0.069 0.135 0.149 x4
Te1 0.181 0.406 0.305 x4
Br1 0.144 0.172 0.542 x4
Br2 0.240 0.055 0.803 x4
Br3 0.358 0.263 0.071 x4


Model R:
The following is a GGA-PBE calculation of a relaxed NbTeBr3 crystal, from Alexandria.

D(E_F) = 13.845 states/eV per cell

Unit cell a=12.434 b=15.095 c=6.605 alpha=90.00 beta=91.38 gamma=90.00
Space group C2/c (No. 15)
Unique sites:
Nb1 0.000 0.102 0.250 x4
Nb2 0.000 0.304 0.750 x4
Te1 0.117 0.258 0.411 x8
Br1 0.117 0.179 0.943 x8
Br2 0.119 0.035 0.562 x8
Br3 0.136 0.416 0.844 x8


model Q wins, 204 meV per atom ahead of the next structure.


Model P:
The following is a GGA-PBE calculation of a relaxed Nb3TeBr crystal, from Alexandria.

D(E_F) = 3.857 states/eV per cell

Unit cell a=5.111 b=5.111 c=5.111 alpha=90.00 beta=90.00 gamma=90.00
Space group Pm-3m (No. 221)
Unique sites:
Nb1 0.000 0.000 0.500 x3
Te1 0.000 0.000 0.000 x1
Br1 0.500 0.500 0.500 x1


Model Q:
The following is a GGA-PBE calculation of a relaxed Nb3TeBr crystal, from Alexandria.

D(E_F) = 6.795 states/eV per cell

Unit cell a=4.808 b=4.808 c=4.808 alpha=90.00 beta=90.00 gamma=90.00
Space group Pm-3m (No. 221)
Unique sites:
Nb1 0.000 0.000 0.500 x3
Te1 0.500 0.500 0.500 x1
Br1 0.000 0.000 0.000 x1


model Q wins, 461 meV per atom ahead of the next structure.


Model P:
The following is a GGA-PBE calculation of a relaxed TiNb2Br crystal, from Alexandria.

D(E_F) = 13.214 states/eV per cell

Unit cell a=3.910 b=3.910 c=20.059 alpha=90.00 beta=90.00 gamma=90.00
Space group I-42d (No. 122)
Unique sites:
Ti1 0.000 0.000 0.000 x4
Nb1 0.247 0.250 0.125 x8
Br1 0.000 0.000 0.500 x4


Model Q:
The following is a GGA-PBE calculation of a relaxed TiNb2Br crystal, from Alexandria.

D(E_F) = 19.568 states/eV per cell

Unit cell a=6.587 b=6.587 c=6.587 alpha=90.00 beta=90.00 gamma=90.00
Space group Fm-3m (No. 225)
Unique sites:
Ti1 0.000 0.000 0.000 x4
Nb1 0.250 0.250 0.250 x8
Br1 0.000 0.000 0.500 x4


model P wins, 124 meV per atom ahead of the next structure.


Model P:
The following is a GGA-PBE calculation of a relaxed NbTl3Br crystal, from Alexandria.

D(E_F) = 3.392 states/eV per cell

Unit cell a=5.653 b=5.653 c=5.653 alpha=90.00 beta=90.00 gamma=90.00
Space group Pm-3m (No. 221)
Unique sites:
Nb1 0.000 0.000 0.000 x1
Tl1 0.000 0.000 0.500 x3
Br1 0.500 0.500 0.500 x1


Model Q:
The following is a GGA-PBE calculation of a relaxed NbTl3Br crystal, from Alexandria.

D(E_F) = 11.303 states/eV per cell

Unit cell a=5.950 b=5.950 c=5.950 alpha=90.00 beta=90.00 gamma=90.00
Space group Pm-3m (No. 221)
Unique sites:
Nb1 0.000 0.000 0.000 x1
Tl1 0.000 0.500 0.500 x3
Br1 0.500 0.500 0.500 x1


model P wins, 552 meV per atom ahead of the next structure.


Model P:
The following is a GGA-PBE calculation of a relaxed Nb2VBr crystal, from Alexandria.

D(E_F) = 18.489 states/eV per cell

Unit cell a=3.898 b=3.898 c=19.934 alpha=90.00 beta=90.00 gamma=90.00
Space group I-42d (No. 122)
Unique sites:
Nb1 0.248 0.250 0.125 x8
V1 0.000 0.000 0.000 x4
Br1 0.000 0.000 0.500 x4


Model Q:
The following is a GGA-PBE calculation of a relaxed Nb2VBr crystal, from Alexandria.

D(E_F) = 21.110 states/eV per cell

Unit cell a=6.501 b=6.501 c=6.501 alpha=90.00 beta=90.00 gamma=90.00
Space group Fm-3m (No. 225)
Unique sites:
Nb1 0.250 0.250 0.250 x8
V1 0.000 0.000 0.000 x4
Br1 0.000 0.000 0.500 x4


model Q wins, 64 meV per atom ahead of the next structure.


Model P:
The following is a GGA-PBE calculation of a relaxed Nb3VBr crystal, from Alexandria.

D(E_F) = 5.815 states/eV per cell

Unit cell a=4.751 b=4.751 c=4.751 alpha=90.00 beta=90.00 gamma=90.00
Space group Pm-3m (No. 221)
Unique sites:
Nb1 0.000 0.000 0.500 x3
V1 0.000 0.000 0.000 x1
Br1 0.500 0.500 0.500 x1


Model Q:
The following is a GGA-PBE calculation of a relaxed Nb3VBr crystal, from Alexandria.

D(E_F) = 6.532 states/eV per cell

Unit cell a=4.737 b=4.737 c=4.737 alpha=90.00 beta=90.00 gamma=90.00
Space group Pm-3m (No. 221)
Unique sites:
Nb1 0.000 0.000 0.500 x3
V1 0.500 0.500 0.500 x1
Br1 0.000 0.000 0.000 x1


model P wins, 97 meV per atom ahead of the next structure.


Model P:
The following is a GGA-PBE calculation of a relaxed Nb2VBr2 crystal, from Alexandria.

D(E_F) = 9.488 states/eV per cell

Unit cell a=7.906 b=7.906 c=3.059 alpha=90.00 beta=90.00 gamma=90.00
Space group P4/mbm (No. 127)
Unique sites:
Nb1 0.171 0.329 0.000 x4
V1 0.000 0.000 0.000 x2
Br1 0.133 0.633 0.500 x4


Model Q:
The following is a GGA-PBE calculation of a relaxed Nb2VBr2 crystal, from Alexandria.

D(E_F) = 10.892 states/eV per cell

Unit cell a=4.406 b=4.406 c=11.660 alpha=90.00 beta=90.00 gamma=90.00
Space group I4/mmm (No. 139)
Unique sites:
Nb1 0.000 0.000 0.101 x4
V1 0.000 0.000 0.500 x2
Br1 0.000 0.500 0.250 x4


model Q wins, 112 meV per atom ahead of the next structure.


Model P:
The following is a GGA-PBE calculation of a relaxed NbWBr2 crystal, from Alexandria.

D(E_F) = 16.681 states/eV per cell

Unit cell a=6.517 b=6.517 c=6.517 alpha=90.00 beta=90.00 gamma=90.00
Space group Fm-3m (No. 225)
Unique sites:
Nb1 0.000 0.000 0.000 x4
W1 0.000 0.000 0.500 x4
Br1 0.250 0.250 0.250 x8


Model Q:
The following is a GGA-PBE calculation of a relaxed NbWBr2 crystal, from Alexandria.

D(E_F) = 12.058 states/eV per cell

Unit cell a=3.1299 b=3.1299 c=27.1861 alpha=90.00 beta=90.00 gamma=120.00
Space group R-3m (No. 166, hexagonal axes)
Unique sites:
Nb1 0.0000 0.0000 0.0000 x3
W1 0.0000 0.0000 0.5000 x3
Br1 0.0000 0.0000 0.4067 x6


model Q wins, 561 meV per atom ahead of the next structure.


Model P:
The following is a GGA-PBE calculation of a relaxed Nb2WBr crystal, from Alexandria.

D(E_F) = 20.654 states/eV per cell

Unit cell a=6.599 b=6.599 c=6.599 alpha=90.00 beta=90.00 gamma=90.00
Space group Fm-3m (No. 225)
Unique sites:
Nb1 0.250 0.250 0.250 x8
W1 0.000 0.000 0.000 x4
Br1 0.000 0.000 0.500 x4


Model Q:
The following is a GGA-PBE calculation of a relaxed Nb2WBr crystal, from Alexandria.

D(E_F) = 17.715 states/eV per cell

Unit cell a=4.022 b=4.022 c=18.969 alpha=90.00 beta=90.00 gamma=90.00
Space group I-42d (No. 122)
Unique sites:
Nb1 0.250 0.250 0.125 x8
W1 0.000 0.000 0.000 x4
Br1 0.000 0.000 0.500 x4


model P wins, 393 meV per atom ahead of the next structure.


Model P:
The following is a GGA-PBE calculation of a relaxed YNb2Br crystal, from Alexandria.

D(E_F) = 13.774 states/eV per cell

Unit cell a=6.903 b=6.903 c=6.903 alpha=90.00 beta=90.00 gamma=90.00
Space group Fm-3m (No. 225)
Unique sites:
Y1 0.000 0.000 0.000 x4
Nb1 0.250 0.250 0.250 x8
Br1 0.000 0.000 0.500 x4


Model Q:
The following is a GGA-PBE calculation of a relaxed YNb2Br crystal, from Alexandria.

D(E_F) = 11.324 states/eV per cell

Unit cell a=3.957 b=3.957 c=22.884 alpha=90.00 beta=90.00 gamma=90.00
Space group I-42d (No. 122)
Unique sites:
Y1 0.000 0.000 0.000 x4
Nb1 0.249 0.750 0.625 x8
Br1 0.000 0.000 0.500 x4


model Q wins, 584 meV per atom ahead of the next structure.